A plane-wave DFT calculation with PBE was carried out for an optimized crystal structure of TiVCr.

Geometry as CIF:
```
data_TiVCr
_chemical_formula_sum 'Ti2 V2 Cr2'
_space_group_name_H-M_alt 'C 1 m 1'
_space_group_IT_number 8
_cell_length_a 4.280
_cell_length_b 4.194
_cell_length_c 5.030
_cell_angle_alpha 90.00
_cell_angle_beta 112.57
_cell_angle_gamma 90.00
loop_
_space_group_symop_operation_xyz
'x,y,z'
'x,-y,z'
'x+1/2,y+1/2,z'
'x+1/2,-y+1/2,z'
loop_
_atom_site_label
_atom_site_type_symbol
_atom_site_fract_x
_atom_site_fract_y
_atom_site_fract_z
Ti1 Ti 0.000 0.000 0.000
V1 V 0.175 0.500 0.381
Cr1 Cr 0.327 0.000 0.654
```

Results
- DOS(E_F): 4.21 states/eV/f.u.
- Magnetic moment: 0.0 Bohr magnetons per cell
- Uncorrected energy: -8.883 eV per atom
- Energy above the most stable polymorph in this dataset: 36 meV per atom
- DFT formation energy: -0.004 eV per atom

A plane-wave DFT calculation with PBE was carried out for an optimized crystal structure of TiV3Cr.

Geometry as CIF:
```
data_TiV3Cr
_chemical_formula_sum 'Ti4 V12 Cr4'
_space_group_name_H-M_alt 'C 1 2/m 1'
_space_group_IT_number 12
_cell_length_a 14.869
_cell_length_b 2.922
_cell_length_c 7.027
_cell_angle_alpha 90.00
_cell_angle_beta 110.75
_cell_angle_gamma 90.00
loop_
_space_group_symop_operation_xyz
'x,y,z'
'-x,-y,-z'
'-x,y,-z'
'x,-y,z'
'x+1/2,y+1/2,z'
'-x+1/2,-y+1/2,-z'
'-x+1/2,y+1/2,-z'
'x+1/2,-y+1/2,z'
loop_
_atom_site_label
_atom_site_type_symbol
_atom_site_fract_x
_atom_site_fract_y
_atom_site_fract_z
Ti1 Ti 0.115 0.000 0.161
V1 V 0.045 0.000 0.715
V2 V 0.186 0.500 0.903
V3 V 0.225 0.000 0.626
Cr1 Cr 0.091 0.500 0.458
```

Results
- DOS(E_F): 7.06 states/eV/f.u.
- Magnetic moment: 0.0 Bohr magnetons per cell
- Uncorrected energy: -8.847 eV per atom
- Energy above the most stable polymorph in this dataset: 0 meV per atom
- DFT formation energy: 0.128 eV per atom

A plane-wave DFT calculation with PBE was carried out for an optimized crystal structure of TiVCr.

Geometry as CIF:
```
data_TiVCr
_chemical_formula_sum 'Ti4 V4 Cr4'
_space_group_name_H-M_alt 'I m m a'
_space_group_IT_number 74
_space_group_name_Hall '-I 2b 2'
_cell_length_a 4.832
_cell_length_b 5.068
_cell_length_c 6.937
_cell_angle_alpha 90.00
_cell_angle_beta 90.00
_cell_angle_gamma 90.00
loop_
_atom_site_label
_atom_site_type_symbol
_atom_site_fract_x
_atom_site_fract_y
_atom_site_fract_z
Ti1 Ti 0.000 0.250 0.124
V1 V 0.000 0.000 0.500
Cr1 Cr 0.250 0.250 0.750
```

Results
- DOS(E_F): 5.53 states/eV/f.u.
- Magnetic moment: 0.0 Bohr magnetons per cell
- Uncorrected energy: -8.919 eV per atom
- Energy above the most stable polymorph in this dataset: 0 meV per atom
- DFT formation energy: -0.040 eV per atom

A plane-wave DFT calculation with PBE was carried out for an optimized crystal structure of TiV2Cr.

Geometry as CIF:
```
data_TiV2Cr
_chemical_formula_sum 'Ti1 V2 Cr1'
_space_group_name_H-M_alt 'P 4/m m m'
_space_group_IT_number 123
_space_group_name_Hall '-P 4 2'
_cell_length_a 4.252
_cell_length_b 4.252
_cell_length_c 3.026
_cell_angle_alpha 90.00
_cell_angle_beta 90.00
_cell_angle_gamma 90.00
loop_
_atom_site_label
_atom_site_type_symbol
_atom_site_fract_x
_atom_site_fract_y
_atom_site_fract_z
Ti1 Ti 0.000 0.000 0.000
V1 V 0.000 0.500 0.500
Cr1 Cr 0.500 0.500 0.000
```

Results
- DOS(E_F): 6.84 states/eV/f.u.
- Magnetic moment: 0.0 Bohr magnetons per cell
- Uncorrected energy: -8.864 eV per atom
- Energy above the most stable polymorph in this dataset: 83 meV per atom
- DFT formation energy: 0.075 eV per atom